No. 1
! PBE Sr8BiSb5, relaxed; values from VASP
&SYSTEM
  ibrav = 0, nat = 14, ntyp = 3
/
ATOMIC_SPECIES
Sr 87.62 Sr.upf
Sb 121.76 Sb.upf
Bi 208.98 Bi.upf
CELL_PARAMETERS angstrom
-7.098 2.766 -4.219
-1.709 -7.621 3.850
2.273 5.846 6.040
ATOMIC_POSITIONS angstrom
Sr -3.145 3.866 4.153
Sr -0.989 -2.373 5.498
Sr -3.930 -1.910 1.722
Sr -4.009 -0.002 6.098
Sr -1.502 1.042 2.050
Sb -0.590 5.915 4.920
Sb -2.412 4.306 0.911
Sr -5.003 2.397 -0.032
Sb -0.381 -2.114 2.199
Sb -4.968 0.991 3.024
Bi -0.924 1.265 5.400
Sb -7.128 -2.811 1.198
Sr -5.439 6.194 0.673
Sr -2.117 -5.253 2.521
! - Formation energy without anion corrections: -95.81 kJ per mole of atoms

No. 2
! PBE Dy2Ni16H, relaxed; values from VASP
&SYSTEM
  ibrav = 0, nat = 19, ntyp = 3
/
ATOMIC_SPECIES
Ni 58.69 Ni.upf
Dy 162.50 Dy.upf
H 1.01 H.upf
CELL_PARAMETERS angstrom
-5.075 -1.496 3.282
2.139 -5.431 2.165
2.033 2.174 5.468
ATOMIC_POSITIONS angstrom
Ni 1.003 1.070 2.707
Ni 1.937 -2.353 5.480
Ni 0.761 -4.357 4.840
Dy -0.307 -1.613 3.705
Ni 1.055 -2.685 1.076
Ni -0.067 -0.353 0.811
Ni 2.065 -4.332 6.961
Ni -2.506 -0.741 1.627
Ni -2.854 -2.384 5.399
Ni -0.829 -5.826 6.070
Dy -0.602 -3.166 7.271
H -0.857 -4.506 10.349
Ni 0.708 -0.545 6.495
Ni -1.601 -4.179 4.392
Ni -0.903 -0.479 8.393
Ni -2.963 -4.661 6.401
Ni -3.006 -1.565 7.746
Ni -1.653 -0.394 6.036
Ni 2.034 -2.081 7.938
! - Energy: -5.65 eV per atom

No. 3
! PBE DyYErTm, relaxed; values from VASP
&SYSTEM
  ibrav = 0, nat = 4, ntyp = 4
/
ATOMIC_SPECIES
Dy 162.50 Dy.upf
Er 167.26 Er.upf
Y 88.91 Y.upf
Tm 168.93 Tm.upf
CELL_PARAMETERS angstrom
-0.663 0.869 -4.866
-4.930 0.226 0.712
3.142 4.359 2.907
ATOMIC_POSITIONS angstrom
Dy 0.083 1.175 0.199
Er -0.077 4.062 -1.820
Y -2.210 3.743 0.970
Tm -2.714 1.724 -1.878
! - Polymorph energy (0 for the lowest one): 0 meV per atom
! - Energy relative to the elements: 10 kJ/mol of formula units

No. 4
! PBE TlRu2Pt, relaxed; values from VASP
&SYSTEM
  ibrav = 0, nat = 4, ntyp = 3
/
ATOMIC_SPECIES
Ru 101.07 Ru.upf
Pt 195.08 Pt.upf
Tl 204.38 Tl.upf
CELL_PARAMETERS angstrom
4.756 0.001 0.017
3.888 2.740 0.017
0.962 0.305 5.142
ATOMIC_POSITIONS angstrom
Ru 4.793 1.520 2.379
Pt 2.402 0.761 1.294
Tl 7.205 2.284 3.882
Ru 8.655 2.744 0.242
! - Polymorph energy (0 for the lowest one): 119 meV per atom
! - Energy relative to the elements: 146 kJ/mol of formula units

No. 5
! PBE NbVFe2Mo, relaxed; values from VASP
&SYSTEM
  ibrav = 0, nat = 5, ntyp = 4
/
ATOMIC_SPECIES
Fe 55.84 Fe.upf
Nb 92.91 Nb.upf
V 50.94 V.upf
Mo 95.94 Mo.upf
CELL_PARAMETERS angstrom
4.104 0.000 0.000
0.000 4.104 0.000
0.000 0.000 4.636
ATOMIC_POSITIONS angstrom
Fe 0.000 2.052 0.000
Fe 2.052 0.000 0.000
Nb 0.000 0.000 2.318
V 0.000 0.000 0.000
Mo 2.052 2.052 2.318
! - Energy relative to the elements: 556 kJ/mol of formula units

No. 6
! PBE Er2ZnSn4, relaxed; values from VASP
&SYSTEM
  ibrav = 0, nat = 7, ntyp = 3
/
ATOMIC_SPECIES
Sn 118.71 Sn.upf
Er 167.26 Er.upf
Zn 65.41 Zn.upf
CELL_PARAMETERS angstrom
4.427 0.000 0.000
0.000 4.427 0.000
0.000 0.000 9.038
ATOMIC_POSITIONS angstrom
Sn 0.000 2.213 7.445
Er 0.000 2.213 2.050
Zn 2.213 2.213 0.000
Sn 2.213 2.213 4.519
Er 2.213 0.000 6.989
Sn 0.000 0.000 4.519
Sn 2.213 0.000 1.593
! - Energy relative to the elements: -272 kJ/mol of formula units

No. 7
! PBE SrLaTeN2, relaxed; values from VASP
&SYSTEM
  ibrav = 0, nat = 5, ntyp = 4
/
ATOMIC_SPECIES
N 14.01 N.upf
Te 127.60 Te.upf
Sr 87.62 Sr.upf
La 138.91 La.upf
CELL_PARAMETERS angstrom
-1.225 2.657 -3.458
-3.942 -2.211 -0.303
-2.723 4.271 4.247
ATOMIC_POSITIONS angstrom
N -1.971 -1.106 -0.151
Te -1.361 2.136 2.124
Sr -3.945 2.359 0.244
N -0.613 1.329 -1.729
La 0.000 0.000 0.000
! - Polymorph energy (0 for the lowest one): 0 meV per atom
! - Formation energy without anion corrections: -7.12 kJ per mole of atoms

No. 8
! PBE Cs3P2Pd4, relaxed; values from VASP
&SYSTEM
  ibrav = 0, nat = 9, ntyp = 3
/
ATOMIC_SPECIES
Pd 106.42 Pd.upf
P 30.97 P.upf
Cs 132.91 Cs.upf
CELL_PARAMETERS angstrom
-0.641 -0.867 3.754
-6.375 -0.507 -3.238
2.918 -9.661 -1.734
ATOMIC_POSITIONS angstrom
Pd -4.391 -3.881 0.385
P -0.453 -8.762 -0.070
Cs -0.756 -4.387 0.889
P -3.646 -2.274 -1.148
Cs 0.000 0.000 0.000
Pd 0.293 -7.154 -1.603
Pd -3.124 -1.599 1.129
Cs -3.342 -6.649 -2.107
Pd -0.974 -9.436 -2.347
! - Energy relative to the elements: -230 kJ/mol of formula units

No. 9
! PBE RbIn5, relaxed; values from VASP
&SYSTEM
  ibrav = 0, nat = 6, ntyp = 2
/
ATOMIC_SPECIES
In 114.82 In.upf
Rb 85.47 Rb.upf
CELL_PARAMETERS angstrom
-0.930 4.582 0.381
-2.435 2.402 -5.958
-6.691 0.940 1.245
ATOMIC_POSITIONS angstrom
In -7.597 5.781 -1.425
Rb -0.465 2.291 0.190
In -5.990 6.333 -4.144
In -4.066 1.592 -0.189
In -5.028 3.962 -2.166
In -2.460 2.144 -2.908
! - Polymorph energy (0 for the lowest one): 0 meV per atom
! - Energy relative to the elements: -12 kJ/mol of formula units

Number 1: volume 36.31 Å³/atom. Number 2: volume 12.48 Å³/atom. Number 3: volume 31.02 Å³/atom. Number 4: volume 16.73 Å³/atom. Number 5: volume 15.62 Å³/atom. Number 6: volume 25.30 Å³/atom. Number 7: volume 27.13 Å³/atom. Number 8: volume 30.45 Å³/atom. Number 9: volume 32.30 Å³/atom.